[1]
Computed, not measured: an optimized crystal structure of CsLi2AgHg at the GGA-PBE level of DFT.

a = 5.4347 Å, b = 5.4347 Å, c = 5.5195 Å
α = 90.00°, β = 90.00°, γ = 90.00°
Atoms (fractional coordinates):
Cs (0.0000, 0.0000, 0.0000)
Li (0.0000, 0.5000, 0.5000)
Li (0.5000, 0.0000, 0.5000)
Ag (0.5000, 0.5000, 0.5000)
Hg (0.5000, 0.5000, 0.0000)

* total magnetic moment: 0.0000 μB/atom
* formation enthalpy at 0 K: 0.01 eV/f.u.
* SG: P4/mmm, No. 123


[2]
Computed, not measured: an optimized crystal structure of CsNa2AgHg at the GGA-PBE level of DFT.

a = 5.8030 Å, b = 5.8030 Å, c = 6.9922 Å
α = 90.00°, β = 90.00°, γ = 90.00°
Atoms (fractional coordinates):
Cs (0.0000, 0.0000, 0.0000)
Na (0.0000, 0.5000, 0.5000)
Na (0.5000, 0.0000, 0.5000)
Ag (0.0000, 0.0000, 0.5000)
Hg (0.5000, 0.5000, 0.0000)

* ΔE to the lowest computed polymorph: 9.8 kJ/mol of atoms
* total magnetic moment: 0.0000 μB/atom
* formation enthalpy at 0 K: 0.32 eV/f.u.
* SG: P4/mmm, No. 123


[3]
Computed, not measured: an optimized crystal structure of Cs2NaAgHg at the GGA-PBE level of DFT.

a = 7.0682 Å, b = 7.0682 Å, c = 5.5752 Å
α = 90.00°, β = 90.00°, γ = 90.00°
Atoms (fractional coordinates):
Cs (0.0000, 0.5000, 0.0000)
Cs (0.5000, 0.0000, 0.0000)
Na (0.0000, 0.0000, 0.5000)
Ag (0.5000, 0.5000, 0.0000)
Hg (0.5000, 0.5000, 0.5000)

* ΔE to the lowest computed polymorph: 0.0 kJ/mol of atoms
* total magnetic moment: 0.0000 μB/atom
* formation enthalpy at 0 K: 0.03 eV/f.u.
* SG: P4/mmm, No. 123


[4]
Computed, not measured: an optimized crystal structure of Cs2NaAgHg at the GGA-PBE level of DFT.

a = 7.0868 Å, b = 7.0868 Å, c = 5.7934 Å
α = 90.00°, β = 90.00°, γ = 90.00°
Atoms (fractional coordinates):
Cs (0.0000, 0.5000, 0.0000)
Cs (0.5000, 0.0000, 0.0000)
Na (0.0000, 0.0000, 0.5000)
Ag (0.0000, 0.0000, 0.0000)
Hg (0.5000, 0.5000, 0.5000)

* ΔE to the lowest computed polymorph: 2.6 kJ/mol of atoms
* total magnetic moment: 0.0077 μB/atom
* formation enthalpy at 0 K: 0.16 eV/f.u.
* SG: P4/mmm, No. 123


[5]
Computed, not measured: an optimized crystal structure of CsNaAgHg at the GGA-PBE level of DFT.

a = 8.4639 Å, b = 8.4639 Å, c = 8.4639 Å
α = 90.00°, β = 90.00°, γ = 90.00°
Atoms (fractional coordinates):
Cs (0.0000, 0.0000, 0.0000)
Cs (0.0000, 0.5000, 0.5000)
Cs (0.5000, 0.0000, 0.5000)
Cs (0.5000, 0.5000, 0.0000)
Na (0.0000, 0.0000, 0.5000)
Na (0.0000, 0.5000, 0.0000)
Na (0.5000, 0.0000, 0.0000)
Na (0.5000, 0.5000, 0.5000)
Ag (0.2500, 0.2500, 0.2500)
Ag (0.2500, 0.7500, 0.7500)
Ag (0.7500, 0.2500, 0.7500)
Ag (0.7500, 0.7500, 0.2500)
Hg (0.2500, 0.2500, 0.7500)
Hg (0.2500, 0.7500, 0.2500)
Hg (0.7500, 0.2500, 0.2500)
Hg (0.7500, 0.7500, 0.7500)

* total magnetic moment: 0.0000 μB/atom
* formation enthalpy at 0 K: 0.00 eV/f.u.
* SG: F-43m, No. 216


[6]
Computed, not measured: an optimized crystal structure of Cs2Na6AgHg at the GGA-PBE level of DFT.

a = 9.0068 Å, b = 11.7045 Å, c = 8.2994 Å
α = 90.00°, β = 90.00°, γ = 90.00°
Atoms (fractional coordinates):
Cs (0.2500, 0.0086, 0.2388)
Cs (0.2500, 0.4914, 0.2388)
Cs (0.7500, 0.5086, 0.7612)
Cs (0.7500, 0.9914, 0.7612)
Na (0.0410, 0.2500, 0.9078)
Na (0.0461, 0.7500, 0.5670)
Na (0.2500, 0.0016, 0.7346)
Na (0.2500, 0.4984, 0.7346)
Na (0.4539, 0.7500, 0.5670)
Na (0.4590, 0.2500, 0.9078)
Na (0.5410, 0.7500, 0.0922)
Na (0.5461, 0.2500, 0.4330)
Na (0.7500, 0.5016, 0.2654)
Na (0.7500, 0.9984, 0.2654)
Na (0.9539, 0.2500, 0.4330)
Na (0.9590, 0.7500, 0.0922)
Ag (0.2500, 0.2500, 0.6105)
Ag (0.7500, 0.7500, 0.3895)
Hg (0.2500, 0.7500, 0.8875)
Hg (0.7500, 0.2500, 0.1125)

* total magnetic moment: 0.0000 μB/atom
* formation enthalpy at 0 K: -0.24 eV/f.u.
* SG: Pmmn, No. 59


[7]
Computed, not measured: an optimized crystal structure of Cs2NaAgHg6 at the GGA-PBE level of DFT.

a = 8.2361 Å, b = 8.2361 Å, c = 8.2361 Å
α = 60.00°, β = 60.00°, γ = 60.00°
Atoms (fractional coordinates):
Cs (0.2500, 0.2500, 0.2500)
Cs (0.7500, 0.7500, 0.7500)
Na (0.0000, 0.0000, 0.0000)
Ag (0.5000, 0.5000, 0.5000)
Hg (0.2557, 0.2557, 0.7443)
Hg (0.2557, 0.7443, 0.2557)
Hg (0.2557, 0.7443, 0.7443)
Hg (0.7443, 0.2557, 0.2557)
Hg (0.7443, 0.2557, 0.7443)
Hg (0.7443, 0.7443, 0.2557)

* total magnetic moment: 0.0000 μB/atom
* formation enthalpy at 0 K: -1.28 eV/f.u.
* SG: Fm-3m, No. 225


[8]
Computed, not measured: an optimized crystal structure of CsNa2AgHg at the GGA-PBE level of DFT.

a = 5.8881 Å, b = 5.8881 Å, c = 5.6370 Å
α = 90.00°, β = 90.00°, γ = 90.00°
Atoms (fractional coordinates):
Cs (0.0000, 0.0000, 0.0000)
Na (0.0000, 0.5000, 0.5000)
Na (0.5000, 0.0000, 0.5000)
Ag (0.5000, 0.5000, 0.0000)
Hg (0.5000, 0.5000, 0.5000)

* ΔE to the lowest computed polymorph: 3.9 kJ/mol of atoms
* total magnetic moment: 0.0000 μB/atom
* formation enthalpy at 0 K: 0.02 eV/f.u.
* SG: P4/mmm, No. 123


Question: What is the formula in the seventh record?
Answer: Cs2NaAgHg6


Question: formation enthalpy at 0 K of number 2 (CsNa2AgHg)?
Answer: 0.32 eV/f.u.